5
Lattice="4.3811 0.0000 0.0000 0.0000 4.3811 0.0000 0.0000 0.0000 4.3811" Properties=species:S:1:pos:R:3 comment="V3FePb, optimized geometry, DFT GGA-PBE" polymorph_energy_ev_per_atom=0.000 formation_energy_ev_per_atom=0.5926 magnetic_moment_mub_per_fu=0.00 final_energy_ev_per_atom=-7.313 dos_at_fermi_per_ev_cell=6.96 pbc="T T T"
V 0.0000 0.0000 2.1905
V 0.0000 2.1905 0.0000
V 2.1905 0.0000 0.0000
Fe 0.0000 0.0000 0.0000
Pb 2.1905 2.1905 2.1905